(1)
This record from the Alexandria database describes a relaxed CrWAu2 crystal. The functional is PBE.

a b c (Å): 3.930 3.930 4.193
angles (deg): 90.00 90.00 90.00
Fractional positions:
Cr 0.000 0.000 0.000
W 0.500 0.500 0.000
Au 0.000 0.500 0.500
Au 0.500 0.000 0.500

- Total magnetic moment: 0.3 μB per formula unit
- Space-group type: P4/mmm

(2)
This record from the Alexandria database describes a relaxed CrWAu2 crystal. The functional is PBE.

a b c (Å): 9.571 2.847 4.887
angles (deg): 90.00 99.59 90.00
Fractional positions:
Cr 0.000 0.000 0.000
Cr 0.500 0.500 0.000
W 0.000 0.500 0.500
W 0.500 0.000 0.500
Au 0.249 0.000 0.749
Au 0.251 0.500 0.251
Au 0.749 0.500 0.749
Au 0.751 0.000 0.251

- Total magnetic moment: 2.6 μB per formula unit
- Space-group type: C2/m

(3)
This record from the Alexandria database describes a relaxed CrWAu2 crystal. The functional is PBE.

a b c (Å): 9.391 2.858 4.978
angles (deg): 90.00 101.29 90.00
Fractional positions:
Cr 0.000 0.000 0.000
Cr 0.500 0.500 0.000
W 0.233 0.500 0.234
W 0.733 0.000 0.234
Au 0.250 0.000 0.749
Au 0.488 0.000 0.479
Au 0.750 0.500 0.749
Au 0.988 0.500 0.479

- Total magnetic moment: 2.5 μB per formula unit
- Space-group type: Cm

So which one is most stable? That would be (3), about 65 meV per atom below the next structure.